Below is a relaxed EuHo2Er crystal, with properties calculated at the PBE level.

extended XYZ file:
```
4
Lattice="-2.748 -0.862 -2.124 -0.960 -2.579 2.288 -5.963 6.665 5.011" Properties=species:S:1:pos:R:3 pbc="T T T"
Eu -4.835 1.612 2.587
Ho -4.571 5.109 3.841
Ho -1.392 1.556 1.170
Er -1.854 -1.720 0.082
```

Values from the calculation:
* Fermi-level density of states: 5.078 states/eV per cell

=====

Below is a relaxed EuHo2Er crystal, with properties calculated at the PBE level.

extended XYZ file:
```
4
Lattice="-1.554 2.948 1.108 -1.967 1.887 -2.214 -11.221 -4.941 2.974" Properties=species:S:1:pos:R:3 pbc="T T T"
Eu 0.000 0.000 0.000
Ho -8.460 -3.140 2.055
Ho -6.282 3.034 -0.188
Er -7.371 -0.053 0.934
```

Values from the calculation:
* Fermi-level density of states: 5.338 states/eV per cell

=====

Below is a relaxed EuHo2Er crystal, with properties calculated at the PBE level.

extended XYZ file:
```
4
Lattice="3.787 0.000 0.000 0.000 5.877 0.000 0.000 0.000 5.877" Properties=species:S:1:pos:R:3 pbc="T T T"
Eu 1.893 2.939 2.939
Ho 0.000 0.000 2.939
Ho 0.000 2.939 0.000
Er 1.893 0.000 0.000
```

Values from the calculation:
* Fermi-level density of states: 7.340 states/eV per cell

=====

Below is a relaxed Eu2HoEr crystal, with properties calculated at the PBE level.

extended XYZ file:
```
4
Lattice="-2.499 0.453 -4.553 4.019 -2.155 -2.421 -2.092 -4.670 0.684" Properties=species:S:1:pos:R:3 pbc="T T T"
Eu -1.046 -2.335 0.342
Eu 2.009 -1.077 -1.210
Ho -1.250 0.227 -2.277
Er -0.287 -3.186 -3.145
```

Values from the calculation:
* Fermi-level density of states: 5.158 states/eV per cell

=====

Number 1: calculated density 8.2 g/cm3, energy above the most stable polymorph in this dataset 0.00 kJ/mol of atoms. Number 2: calculated density 8.1 g/cm3, energy above the most stable polymorph in this dataset 9.50 kJ/mol of atoms. Number 3: calculated density 8.2 g/cm3, energy above the most stable polymorph in this dataset 9.63 kJ/mol of atoms. Number 4: calculated density 7.6 g/cm3, energy above the most stable polymorph in this dataset 0.00 kJ/mol of atoms.